Density functional theory data (PBE) for a geometry-optimized Ta2Ir2Pd structure.

- energy relative to the elements (eV/atom) = -0.33
- energy relative to the lowest polymorph listed for this composition (kJ/mol of atoms) = 13.9
- final energy (eV/atom) = -9.65
- DOS(E_F) (states/eV/cell) = 7.79
- space group = P4/mbm

a = 7.7163 Å, b = 7.7163 Å, c = 2.8903 Å
α = 90.00°, β = 90.00°, γ = 90.00°
Closest atoms and distances in Å follow each position.
Fractional positions:
Ta  0.1555  0.3445  0.0000  6 Ir 2.67-2.69, 2 Ta 2.89, 2 Pd 2.92
Ta  0.3445  0.8445  0.0000  6 Ir 2.67-2.69, 2 Ta 2.89, 2 Pd 2.92
Ta  0.6555  0.1555  0.0000  6 Ir 2.67-2.69, 2 Ta 2.89, 2 Pd 2.92
Ta  0.8445  0.6555  0.0000  6 Ir 2.67-2.69, 2 Ta 2.89, 2 Pd 2.92
Ir  0.1385  0.6385  0.5000  6 Ta 2.67-2.69, 2 Ir 2.89
Ir  0.3615  0.1385  0.5000  6 Ta 2.67-2.69, 2 Ir 2.89
Ir  0.6385  0.8615  0.5000  6 Ta 2.67-2.69, 2 Ir 2.89
Ir  0.8615  0.3615  0.5000  6 Ta 2.67-2.69, 2 Ir 2.89
Pd  0.0000  0.0000  0.0000  2 Pd 2.89, 4 Ta 2.92
Pd  0.5000  0.5000  0.0000  2 Pd 2.89, 4 Ta 2.92